No. 1
The following is a GGA-PBE calculation of a relaxed PrZn2SiRh2 crystal, from Alexandria via LeMat-Bulk.

Lattice parameters (Å, degrees): 4.457 4.457 5.782 90.00 90.00 90.00
Element x y z (fractional)
Si 0.000 0.000 0.000
Zn 0.500 0.500 0.730
Zn 0.500 0.500 0.270
Rh 0.500 0.000 0.000
Rh 0.000 0.500 0.000
Pr 0.000 0.000 0.500

Calculated values
Final energy (eV per atom): -5.0209
DOS at the Fermi energy (states/eV per cell): 6.009
Magnetic moment (Bohr magnetons per cell): 0.01
SG: No. 123

=====

No. 2
The following is a GGA-PBE calculation of a relaxed Pr2ZnSi4Rh3 crystal, from Alexandria via LeMat-Bulk.

Lattice parameters (Å, degrees): 4.211 4.211 10.001 90.00 90.00 90.00
Element x y z (fractional)
Rh 0.500 0.000 0.880
Rh 0.000 0.500 0.120
Rh 0.000 0.000 0.500
Pr 0.000 0.500 0.755
Pr 0.500 0.000 0.245
Si 0.500 0.500 0.000
Si 0.500 0.000 0.638
Si 0.000 0.500 0.362
Si 0.000 0.000 0.000
Zn 0.500 0.500 0.500

Calculated values
Final energy (eV per atom): -6.3263
DOS at the Fermi energy (states/eV per cell): 7.038
Magnetic moment (Bohr magnetons per cell): 0.00
SG: No. 115

=====

No. 3
The following is a GGA-PBE calculation of a relaxed PrSm5Rh4 crystal, from Alexandria via LeMat-Bulk.

Lattice parameters (Å, degrees): 4.313 7.532 9.463 113.51 103.17 90.00
Element x y z (fractional)
Rh 0.000 0.735 0.000
Rh 0.301 0.802 0.603
Rh 0.699 0.198 0.397
Rh 0.000 0.265 0.000
Sm 0.835 0.591 0.670
Sm 0.165 0.921 0.330
Sm 0.165 0.409 0.330
Sm 0.500 0.500 0.000
Sm 0.835 0.079 0.670
Pr 0.500 0.000 0.000

Calculated values
DOS at the Fermi energy (states/eV per cell): 5.221
Magnetic moment (Bohr magnetons per cell): 0.00
E_form (eV per atom): -0.569
SG: No. 12

=====

No. 4
The following is a GGA-PBE calculation of a relaxed PrSm2Rh2 crystal, from Alexandria via LeMat-Bulk.

Lattice parameters (Å, degrees): 3.898 4.763 13.625 90.00 98.22 90.00
Element x y z (fractional)
Pr 0.635 0.750 0.270
Pr 0.365 0.250 0.730
Sm 0.949 0.750 0.898
Sm 0.734 0.250 0.467
Sm 0.051 0.250 0.102
Sm 0.266 0.750 0.533
Rh 0.468 0.250 0.935
Rh 0.160 0.250 0.321
Rh 0.532 0.750 0.065
Rh 0.840 0.750 0.679

Calculated values
DOS at the Fermi energy (states/eV per cell): 6.772
Magnetic moment (Bohr magnetons per cell): 0.00
E_form (eV per atom): -0.524
SG: No. 63

=====

No. 5
The following is a GGA-PBE calculation of a relaxed PrSm3Rh8 crystal, from Alexandria via LeMat-Bulk.

Lattice parameters (Å, degrees): 5.399 5.399 9.357 73.23 73.23 60.00
Element x y z (fractional)
Pr 0.875 0.875 0.375
Sm 0.000 0.000 0.999
Sm 0.375 0.375 0.876
Sm 0.500 0.500 0.501
Rh 0.688 0.688 0.937
Rh 0.937 0.436 0.689
Rh 0.937 0.937 0.689
Rh 0.438 0.438 0.186
Rh 0.938 0.438 0.186
Rh 0.438 0.938 0.186
Rh 0.187 0.187 0.438
Rh 0.436 0.937 0.689

Calculated values
DOS at the Fermi energy (states/eV per cell): 6.657
Magnetic moment (Bohr magnetons per cell): 0.00
E_form (eV per atom): -0.679
SG: No. 160

=====

No. 6
The following is a GGA-PBE calculation of a relaxed Pr4Sm3Rh2 crystal, from Alexandria via LeMat-Bulk.

Lattice parameters (Å, degrees): 3.845 9.199 8.804 111.98 102.61 90.00
Element x y z (fractional)
Pr 0.773 0.346 0.545
Pr 0.376 0.121 0.751
Pr 0.227 0.654 0.455
Pr 0.624 0.879 0.249
Sm 0.074 0.188 0.148
Sm 0.926 0.812 0.852
Sm 0.000 0.500 0.000
Rh 0.619 0.436 0.238
Rh 0.381 0.564 0.762

Calculated values
DOS at the Fermi energy (states/eV per cell): 9.447
Magnetic moment (Bohr magnetons per cell): 0.00
E_form (eV per atom): -0.336
SG: No. 12